{"formula": "SiHgCl2", "functional": "PBEsol", "state": "relaxed", "lattice_angstrom": [[-2.118, 2.118, 4.603], [2.118, -2.118, 4.603], [2.118, 2.118, -4.603]], "species": ["Si", "Hg", "Cl", "Cl"], "fractional_positions": [[0.000, 0.000, 0.000], [0.250, 0.750, 0.500], [0.500, 0.500, 0.000], [0.750, 0.250, 0.500]], "polymorph_energy_mev_per_atom": 426, "raw_formation_energy_ev_per_atom": 0.1196, "magnetic_moment_mub_per_atom": 0.00, "crystal_system": "tetragonal", "dft_energy_ev_per_atom": -2.4627}

{"formula": "YZr2Re", "functional": "PBEsol", "state": "relaxed", "lattice_angstrom": [[-1.713, 2.421, 5.128], [1.713, -2.421, 5.128], [1.713, 2.421, -5.128]], "species": ["Y", "Zr", "Zr", "Re"], "fractional_positions": [[0.000, 0.000, 0.000], [0.282, 0.782, 0.500], [0.574, 0.574, 0.000], [0.770, 0.270, 0.500]], "formation_enthalpy_0k_ev_per_atom": 0.00, "polymorph_energy_mev_per_atom": 28, "magnetic_moment_mub_per_atom": 0.00, "crystal_system": "orthorhombic", "dft_energy_ev_per_atom": -9.5811}